(1)
! NbInCoPt, optimized geometry, DFT PBE; values from VASP
! **Polymorph energy (0 for the lowest one)**: 0.000 eV/atom
&SYSTEM
  ibrav = 0, nat = 4, ntyp = 4
/
ATOMIC_SPECIES
Pt 195.08 Pt.upf
In 114.82 In.upf
Nb 92.91 Nb.upf
Co 58.93 Co.upf
CELL_PARAMETERS angstrom
-0.208 -4.342 1.225
-2.297 -1.195 3.700
-3.883 -2.272 -0.389
ATOMIC_POSITIONS crystal
Pt 0.250 0.250 0.250
In 0.000 0.000 0.000
Nb 0.500 0.500 0.500
Co 0.750 0.750 0.750

(2)
! NbInCoRe, optimized geometry, DFT PBE; values from VASP
! **Polymorph energy (0 for the lowest one)**: 0.000 eV/atom
&SYSTEM
  ibrav = 0, nat = 4, ntyp = 4
/
ATOMIC_SPECIES
In 114.82 In.upf
Co 58.93 Co.upf
Re 186.21 Re.upf
Nb 92.91 Nb.upf
CELL_PARAMETERS angstrom
-0.316 1.431 4.235
-3.967 -0.028 2.085
-0.775 -2.928 3.303
ATOMIC_POSITIONS crystal
In 0.000 0.000 0.000
Co 0.750 0.750 0.750
Re 0.250 0.250 0.250
Nb 0.500 0.500 0.500

(3)
A plane-wave DFT calculation with PBE was carried out for a relaxed Nb2InCo2Sb crystal. Values from VASP.

Geometry as Quantum ESPRESSO input:
```
&SYSTEM
  ibrav = 0, nat = 12, ntyp = 4
/
ATOMIC_SPECIES
Nb 92.91 Nb.upf
Sb 121.76 Sb.upf
Co 58.93 Co.upf
In 114.82 In.upf
CELL_PARAMETERS angstrom
-0.351 -4.949 3.289
5.007 1.528 2.834
-0.876 1.227 7.138
ATOMIC_POSITIONS crystal
Nb 0.498 0.998 0.005
Sb 0.500 0.500 0.000
Co 0.387 0.375 0.750
In 0.000 0.000 0.000
Sb 0.750 0.250 0.500
Co 0.863 0.875 0.750
Co 0.125 0.613 0.250
Nb 0.002 0.502 0.995
In 0.250 0.750 0.500
Nb 0.248 0.248 0.505
Co 0.625 0.137 0.250
Nb 0.752 0.752 0.495
```

(4)
! TaNbInCo, optimized geometry, DFT PBE; values from VASP
! **Polymorph energy (0 for the lowest one)**: 0.000 eV/atom
&SYSTEM
  ibrav = 0, nat = 4, ntyp = 4
/
ATOMIC_SPECIES
In 114.82 In.upf
Nb 92.91 Nb.upf
Co 58.93 Co.upf
Ta 180.95 Ta.upf
CELL_PARAMETERS angstrom
-3.222 -2.256 2.371
-3.723 -1.616 -2.149
-0.533 -4.524 -0.582
ATOMIC_POSITIONS crystal
In 0.000 0.000 0.000
Nb 0.250 0.250 0.250
Co 0.750 0.750 0.750
Ta 0.500 0.500 0.500

(5)
! NbInCoTc, optimized geometry, DFT PBE; values from VASP
! **Polymorph energy (0 for the lowest one)**: 0.000 eV/atom
&SYSTEM
  ibrav = 0, nat = 4, ntyp = 4
/
ATOMIC_SPECIES
Co 58.93 Co.upf
In 114.82 In.upf
Tc 98.00 Tc.upf
Nb 92.91 Nb.upf
CELL_PARAMETERS angstrom
0.000 3.156 3.156
3.156 0.000 3.156
3.156 3.156 0.000
ATOMIC_POSITIONS crystal
Co 0.750 0.750 0.750
In 0.000 0.000 0.000
Tc 0.250 0.250 0.250
Nb 0.500 0.500 0.500

(6)
! YNbInCo, optimized geometry, DFT PBE; values from VASP
! **Polymorph energy (0 for the lowest one)**: 0.000 eV/atom
&SYSTEM
  ibrav = 0, nat = 4, ntyp = 4
/
ATOMIC_SPECIES
Nb 92.91 Nb.upf
Co 58.93 Co.upf
Y 88.91 Y.upf
In 114.82 In.upf
CELL_PARAMETERS angstrom
0.000 3.376 3.376
3.376 0.000 3.376
3.376 3.376 0.000
ATOMIC_POSITIONS crystal
Nb 0.250 0.250 0.250
Co 0.750 0.750 0.750
Y 0.500 0.500 0.500
In 0.000 0.000 0.000

(7)
! NbZnInCo, optimized geometry, DFT PBE; values from VASP
! **Polymorph energy (0 for the lowest one)**: 0.220 eV/atom
&SYSTEM
  ibrav = 0, nat = 4, ntyp = 4
/
ATOMIC_SPECIES
Zn 65.41 Zn.upf
Nb 92.91 Nb.upf
Co 58.93 Co.upf
In 114.82 In.upf
CELL_PARAMETERS angstrom
0.000 3.185 3.185
3.185 0.000 3.185
3.185 3.185 0.000
ATOMIC_POSITIONS crystal
Zn 0.500 0.500 0.500
Nb 0.250 0.250 0.250
Co 0.750 0.750 0.750
In 0.000 0.000 0.000

(8)
! NbZnInCo, optimized geometry, DFT PBE; values from VASP
! **Polymorph energy (0 for the lowest one)**: 0.000 eV/atom
&SYSTEM
  ibrav = 0, nat = 4, ntyp = 4
/
ATOMIC_SPECIES
Nb 92.91 Nb.upf
Co 58.93 Co.upf
Zn 65.41 Zn.upf
In 114.82 In.upf
CELL_PARAMETERS angstrom
-2.935 -3.312 0.474
-4.259 0.915 0.913
-3.131 -0.659 -3.094
ATOMIC_POSITIONS crystal
Nb 0.500 0.500 0.500
Co 0.750 0.750 0.750
Zn 0.250 0.250 0.250
In 0.000 0.000 0.000

(9)
! ZrNbInCo, optimized geometry, DFT PBE; values from VASP
! **Polymorph energy (0 for the lowest one)**: 0.000 eV/atom
&SYSTEM
  ibrav = 0, nat = 4, ntyp = 4
/
ATOMIC_SPECIES
Co 58.93 Co.upf
Zr 91.22 Zr.upf
In 114.82 In.upf
Nb 92.91 Nb.upf
CELL_PARAMETERS angstrom
0.000 3.312 3.312
3.312 0.000 3.312
3.312 3.312 0.000
ATOMIC_POSITIONS crystal
Co 0.750 0.750 0.750
Zr 0.500 0.500 0.500
In 0.000 0.000 0.000
Nb 0.250 0.250 0.250

(10)
A plane-wave DFT calculation with PBE was carried out for a relaxed NdInCo2 crystal. Values from VASP.

Geometry as Quantum ESPRESSO input:
```
&SYSTEM
  ibrav = 0, nat = 8, ntyp = 3
/
ATOMIC_SPECIES
Nd 144.24 Nd.upf
Co 58.93 Co.upf
In 114.82 In.upf
CELL_PARAMETERS angstrom
5.118 0.000 0.000
0.000 4.033 0.000
0.000 0.000 7.255
ATOMIC_POSITIONS crystal
Nd 0.250 0.500 0.788
Nd 0.750 0.500 0.212
Co 0.750 0.500 0.583
Co 0.500 0.000 0.500
Co 0.250 0.500 0.417
Co 0.000 0.000 0.500
In 0.250 0.000 0.162
In 0.750 0.000 0.838
```

(11)
A plane-wave DFT calculation with PBE was carried out for a relaxed Nd2In8Co crystal. Values from VASP.

Geometry as Quantum ESPRESSO input:
```
&SYSTEM
  ibrav = 0, nat = 11, ntyp = 3
/
ATOMIC_SPECIES
Co 58.93 Co.upf
In 114.82 In.upf
Nd 144.24 Nd.upf
CELL_PARAMETERS angstrom
-2.338 -3.609 -1.794
-0.735 -1.658 4.292
-10.523 6.469 0.698
ATOMIC_POSITIONS crystal
Co 0.000 0.000 0.000
In 0.000 0.500 0.117
In 0.500 0.000 0.500
In 0.500 0.000 0.883
In 0.500 0.500 0.307
In 0.500 0.000 0.117
Nd 0.000 0.000 0.305
In 0.000 0.500 0.500
In 0.500 0.500 0.693
In 0.000 0.500 0.883
Nd 0.000 0.000 0.695
```

(12)
A plane-wave DFT calculation with PBE was carried out for a relaxed NdIn2Co crystal. Values from VASP.

Geometry as Quantum ESPRESSO input:
```
&SYSTEM
  ibrav = 0, nat = 8, ntyp = 3
/
ATOMIC_SPECIES
In 114.82 In.upf
Co 58.93 Co.upf
Nd 144.24 Nd.upf
CELL_PARAMETERS angstrom
2.249 -9.552 0.000
2.249 9.552 0.000
0.000 0.000 4.318
ATOMIC_POSITIONS crystal
In 0.000 0.000 0.000
Co 0.572 0.428 0.000
In 0.296 0.704 0.000
In 0.704 0.296 0.000
Nd 0.139 0.861 0.500
In 0.500 0.500 0.500
Nd 0.861 0.139 0.500
Co 0.428 0.572 0.000
```

(13)
A plane-wave DFT calculation with PBE was carried out for a relaxed Nd2InCoNi crystal. Values from VASP.

Geometry as Quantum ESPRESSO input:
```
&SYSTEM
  ibrav = 0, nat = 5, ntyp = 4
/
ATOMIC_SPECIES
In 114.82 In.upf
Nd 144.24 Nd.upf
Co 58.93 Co.upf
Ni 58.69 Ni.upf
CELL_PARAMETERS angstrom
3.946 0.000 0.000
0.000 1.973 7.142
0.000 -1.973 7.142
ATOMIC_POSITIONS crystal
In 0.000 0.001 0.001
Nd 0.500 0.635 0.635
Co 0.000 0.205 0.205
Ni 0.000 0.796 0.796
Nd 0.500 0.363 0.363
```

(14)
A plane-wave DFT calculation with PBE was carried out for a relaxed PrNd2In3Co3 crystal. Values from VASP.

Geometry as Quantum ESPRESSO input:
```
&SYSTEM
  ibrav = 0, nat = 9, ntyp = 4
/
ATOMIC_SPECIES
Nd 144.24 Nd.upf
Co 58.93 Co.upf
In 114.82 In.upf
Pr 140.91 Pr.upf
CELL_PARAMETERS angstrom
-2.633 2.272 -1.957
-5.337 -5.107 1.251
1.109 5.532 4.929
ATOMIC_POSITIONS crystal
Nd 0.000 0.588 0.000
Co 0.000 0.000 0.000
In 0.500 0.999 0.247
Co 0.500 0.333 0.667
In 0.500 0.247 0.999
Pr 0.000 0.413 0.413
Nd 0.000 0.000 0.588
In 0.500 0.754 0.754
Co 0.500 0.667 0.333
```

(15)
A plane-wave DFT calculation with PBE was carried out for a relaxed NdInCoS3 crystal. Values from VASP.

Geometry as Quantum ESPRESSO input:
```
&SYSTEM
  ibrav = 0, nat = 12, ntyp = 4
/
ATOMIC_SPECIES
In 114.82 In.upf
S 32.06 S.upf
Co 58.93 Co.upf
Nd 144.24 Nd.upf
CELL_PARAMETERS angstrom
-1.686 -2.162 2.839
4.164 -5.794 0.804
5.834 5.225 7.444
ATOMIC_POSITIONS crystal
In 0.247 0.506 0.250
S 0.628 0.744 0.413
Co 0.475 0.050 0.750
S 0.372 0.256 0.587
Co 0.525 0.950 0.250
Nd 0.000 0.000 0.000
S 0.065 0.870 0.750
S 0.628 0.744 0.087
S 0.372 0.256 0.913
S 0.935 0.130 0.250
In 0.753 0.494 0.750
Nd 0.000 0.000 0.500
```

(16)
A plane-wave DFT calculation with PBE was carried out for a relaxed NdSm2In3Co3 crystal. Values from VASP.

Geometry as Quantum ESPRESSO input:
```
&SYSTEM
  ibrav = 0, nat = 9, ntyp = 4
/
ATOMIC_SPECIES
Nd 144.24 Nd.upf
In 114.82 In.upf
Sm 150.36 Sm.upf
Co 58.93 Co.upf
CELL_PARAMETERS angstrom
-2.785 -0.878 2.640
4.171 -5.648 2.522
0.719 6.786 3.014
ATOMIC_POSITIONS crystal
Nd 0.500 0.413 0.413
In 0.000 0.753 0.753
Sm 0.500 0.588 0.000
In 0.000 0.998 0.249
Sm 0.500 0.000 0.588
Co 0.000 0.333 0.668
Co 0.000 0.668 0.333
In 0.000 0.249 0.998
Co 0.500 0.999 0.999
```

(17)
A plane-wave DFT calculation with PBE was carried out for a relaxed Tb2NdIn3Co3 crystal. Values from VASP.

Geometry as Quantum ESPRESSO input:
```
&SYSTEM
  ibrav = 0, nat = 9, ntyp = 4
/
ATOMIC_SPECIES
In 114.82 In.upf
Co 58.93 Co.upf
Tb 158.93 Tb.upf
Nd 144.24 Nd.upf
CELL_PARAMETERS angstrom
3.890 0.000 0.000
0.000 6.405 3.713
0.000 -6.405 3.713
ATOMIC_POSITIONS crystal
In 0.500 0.004 0.749
Co 0.500 0.331 0.668
Co 0.500 0.668 0.331
In 0.500 0.248 0.248
In 0.500 0.749 0.004
Tb 0.000 0.001 0.410
Nd 0.000 0.588 0.588
Co 0.000 0.001 0.001
Tb 0.000 0.410 0.001
```

(18)
A plane-wave DFT calculation with PBE was carried out for a relaxed NdInCoTe3 crystal. Values from VASP.

Geometry as Quantum ESPRESSO input:
```
&SYSTEM
  ibrav = 0, nat = 12, ntyp = 4
/
ATOMIC_SPECIES
Te 127.60 Te.upf
Nd 144.24 Nd.upf
Co 58.93 Co.upf
In 114.82 In.upf
CELL_PARAMETERS angstrom
7.672 -2.103 0.000
7.672 2.103 0.000
0.000 0.000 11.593
ATOMIC_POSITIONS crystal
Te 0.361 0.361 0.083
Te 0.361 0.361 0.417
Te 0.639 0.639 0.583
Nd 0.000 0.000 0.500
Nd 0.000 0.000 0.000
Co 0.526 0.526 0.750
In 0.754 0.754 0.250
Te 0.077 0.077 0.250
Te 0.923 0.923 0.750
Co 0.474 0.474 0.250
Te 0.639 0.639 0.917
In 0.246 0.246 0.750
```

(19)
A plane-wave DFT calculation with PBE was carried out for a relaxed NdTmInCo2 crystal. Values from VASP.

Geometry as Quantum ESPRESSO input:
```
&SYSTEM
  ibrav = 0, nat = 5, ntyp = 4
/
ATOMIC_SPECIES
Co 58.93 Co.upf
In 114.82 In.upf
Nd 144.24 Nd.upf
Tm 168.93 Tm.upf
CELL_PARAMETERS angstrom
3.936 0.000 0.000
0.000 1.916 6.962
0.000 -1.916 6.962
ATOMIC_POSITIONS crystal
Co 0.000 0.211 0.211
In 0.000 0.994 0.994
Nd 0.500 0.638 0.638
Tm 0.500 0.359 0.359
Co 0.000 0.797 0.797
```

(20)
A plane-wave DFT calculation with PBE was carried out for a relaxed NdYInCo2 crystal. Values from VASP.

Geometry as Quantum ESPRESSO input:
```
&SYSTEM
  ibrav = 0, nat = 5, ntyp = 4
/
ATOMIC_SPECIES
Co 58.93 Co.upf
Y 88.91 Y.upf
In 114.82 In.upf
Nd 144.24 Nd.upf
CELL_PARAMETERS angstrom
-3.821 -0.682 0.838
-0.167 5.986 4.111
-1.152 7.149 0.567
ATOMIC_POSITIONS crystal
Co 0.000 0.209 0.209
Y 0.500 0.363 0.363
In 0.000 0.997 0.997
Nd 0.500 0.636 0.636
Co 0.000 0.795 0.795
```

(21)
A plane-wave DFT calculation with PBE was carried out for a relaxed NdY2In3Co3 crystal. Values from VASP.

Geometry as Quantum ESPRESSO input:
```
&SYSTEM
  ibrav = 0, nat = 9, ntyp = 4
/
ATOMIC_SPECIES
Nd 144.24 Nd.upf
Y 88.91 Y.upf
In 114.82 In.upf
Co 58.93 Co.upf
CELL_PARAMETERS angstrom
3.869 0.000 0.000
0.000 6.394 3.720
0.000 -6.394 3.720
ATOMIC_POSITIONS crystal
Nd 0.000 0.414 0.414
Y 0.000 0.589 0.000
Y 0.000 0.000 0.589
In 0.500 0.995 0.250
Co 0.000 0.999 0.999
In 0.500 0.753 0.753
Co 0.500 0.332 0.668
In 0.500 0.250 0.995
Co 0.500 0.668 0.332
```

(22)
! InCoNiPt, optimized geometry, DFT PBE; values from VASP
! **Polymorph energy (0 for the lowest one)**: 0.000 eV/atom
&SYSTEM
  ibrav = 0, nat = 4, ntyp = 4
/
ATOMIC_SPECIES
In 114.82 In.upf
Ni 58.69 Ni.upf
Pt 195.08 Pt.upf
Co 58.93 Co.upf
CELL_PARAMETERS angstrom
0.000 3.061 3.061
3.061 0.000 3.061
3.061 3.061 0.000
ATOMIC_POSITIONS crystal
In 0.000 0.000 0.000
Ni 0.250 0.250 0.250
Pt 0.500 0.500 0.500
Co 0.750 0.750 0.750

(23)
! ScInCoNi, optimized geometry, DFT PBE; values from VASP
! **Polymorph energy (0 for the lowest one)**: 0.311 eV/atom
&SYSTEM
  ibrav = 0, nat = 4, ntyp = 4
/
ATOMIC_SPECIES
Sc 44.96 Sc.upf
Ni 58.69 Ni.upf
Co 58.93 Co.upf
In 114.82 In.upf
CELL_PARAMETERS angstrom
0.000 3.162 3.162
3.162 0.000 3.162
3.162 3.162 0.000
ATOMIC_POSITIONS crystal
Sc 0.250 0.250 0.250
Ni 0.750 0.750 0.750
Co 0.500 0.500 0.500
In 0.000 0.000 0.000

(24)
! ScInCoNi, optimized geometry, DFT PBE; values from VASP
! **Polymorph energy (0 for the lowest one)**: 0.000 eV/atom
&SYSTEM
  ibrav = 0, nat = 4, ntyp = 4
/
ATOMIC_SPECIES
Ni 58.69 Ni.upf
Co 58.93 Co.upf
Sc 44.96 Sc.upf
In 114.82 In.upf
CELL_PARAMETERS angstrom
0.000 3.120 3.120
3.120 0.000 3.120
3.120 3.120 0.000
ATOMIC_POSITIONS crystal
Ni 0.500 0.500 0.500
Co 0.000 0.000 0.000
Sc 0.750 0.750 0.750
In 0.250 0.250 0.250

(25)
! ScInCoNi, optimized geometry, DFT PBE; values from VASP
! **Polymorph energy (0 for the lowest one)**: 0.307 eV/atom
&SYSTEM
  ibrav = 0, nat = 4, ntyp = 4
/
ATOMIC_SPECIES
Co 58.93 Co.upf
In 114.82 In.upf
Ni 58.69 Ni.upf
Sc 44.96 Sc.upf
CELL_PARAMETERS angstrom
-0.152 -4.388 -0.751
-3.437 -1.762 -2.220
0.586 -1.575 -4.126
ATOMIC_POSITIONS crystal
Co 0.000 0.000 0.000
In 0.250 0.250 0.250
Ni 0.750 0.750 0.750
Sc 0.500 0.500 0.500

(26)
! TaInCoNi, optimized geometry, DFT PBE; values from VASP
! **Polymorph energy (0 for the lowest one)**: 0.382 eV/atom
&SYSTEM
  ibrav = 0, nat = 4, ntyp = 4
/
ATOMIC_SPECIES
Ta 180.95 Ta.upf
Co 58.93 Co.upf
In 114.82 In.upf
Ni 58.69 Ni.upf
CELL_PARAMETERS angstrom
0.000 3.103 3.103
3.103 0.000 3.103
3.103 3.103 0.000
ATOMIC_POSITIONS crystal
Ta 0.250 0.250 0.250
Co 0.500 0.500 0.500
In 0.000 0.000 0.000
Ni 0.750 0.750 0.750

(27)
! TaInCoNi, optimized geometry, DFT PBE; values from VASP
! **Polymorph energy (0 for the lowest one)**: 0.392 eV/atom
&SYSTEM
  ibrav = 0, nat = 4, ntyp = 4
/
ATOMIC_SPECIES
In 114.82 In.upf
Ta 180.95 Ta.upf
Co 58.93 Co.upf
Ni 58.69 Ni.upf
CELL_PARAMETERS angstrom
-1.425 -3.887 1.444
-4.073 -0.395 1.574
-3.026 -2.210 -2.277
ATOMIC_POSITIONS crystal
In 0.000 0.000 0.000
Ta 0.250 0.250 0.250
Co 0.750 0.750 0.750
Ni 0.500 0.500 0.500

Asked for electronic total energy across the records above, the calculation gives -6.656; -7.936; -7.132; -7.663; -7.592; -6.310; -5.016; -5.236; -6.967; -5.629; -3.849; -4.577; -5.320; -5.106; -5.408; -5.114; -5.111; -4.562; -5.529; -5.930; -5.519; -5.412; -5.457; -5.768; -5.461; -6.543; -6.534 eV/atom in order.